Entry i
A geometry-optimized HoZr2Ti structure, computed with GGA-PBE. Values from VASP.

Properties
The density of states at the Fermi level comes out at 6.6 states/eV/f.u. The calculation puts the size of the total moment at 0.00 μB/atom. As for the volume: 23.20 Å³/atom.

Geometry as Quantum ESPRESSO input:
```
&SYSTEM
  ibrav = 0, nat = 4, ntyp = 3
/
ATOMIC_SPECIES
Zr 91.22 Zr.upf
Ti 47.87 Ti.upf
Ho 164.93 Ho.upf
CELL_PARAMETERS angstrom
-1.9546 0.6941 -4.0422
1.6167 -3.9590 -1.4615
-3.7456 -2.0672 1.4562
ATOMIC_POSITIONS angstrom
Zr -1.8728 -1.0336 0.7281
Ti -0.9773 0.3470 -2.0211
Zr 0.8084 -1.9795 -0.7308
Ho -2.0417 -2.6661 -2.0237
```

=====

Entry ii
A geometry-optimized HoZr2Ti structure, computed with GGA-PBE. Values from VASP.

Properties
The density of states at the Fermi level comes out at 5.6 states/eV/f.u. The calculation puts the size of the total moment at 0.00 μB/atom. As for the volume: 23.42 Å³/atom.

Geometry as Quantum ESPRESSO input:
```
&SYSTEM
  ibrav = 0, nat = 4, ntyp = 3
/
ATOMIC_SPECIES
Zr 91.22 Zr.upf
Ti 47.87 Ti.upf
Ho 164.93 Ho.upf
CELL_PARAMETERS angstrom
-0.2799 -3.3706 -1.3367
3.3827 0.2401 -1.3137
2.5432 -2.6186 6.0702
ATOMIC_POSITIONS angstrom
Zr 2.0224 -2.0823 4.8270
Ti 1.5514 -1.5653 -1.3252
Ho 2.8230 -2.8746 1.7099
Zr 0.5209 -0.5363 1.2432
```

=====

Entry iii
A geometry-optimized HoZr2Ti structure, computed with GGA-PBE. Values from VASP.

Properties
The density of states at the Fermi level comes out at 6.3 states/eV/f.u. The calculation puts the size of the total moment at 0.00 μB/atom. As for the volume: 23.24 Å³/atom.

Geometry as Quantum ESPRESSO input:
```
&SYSTEM
  ibrav = 0, nat = 4, ntyp = 3
/
ATOMIC_SPECIES
Ho 164.93 Ho.upf
Zr 91.22 Zr.upf
Ti 47.87 Ti.upf
CELL_PARAMETERS angstrom
-0.7360 -3.1054 -0.3018
0.4430 -1.4869 -2.8052
9.5993 -4.1106 1.8630
ATOMIC_POSITIONS angstrom
Ho 4.6531 -4.3514 -0.6220
Zr 7.1838 -6.5815 -0.8720
Zr 2.1224 -2.1214 -0.3720
Ti 0.0000 0.0000 0.0000
```

=====

Most stable: entry ii (next structure +3.3 kJ/mol of atoms)

=====

Entry i
A geometry-optimized HoZrTi structure, computed with GGA-PBE. Values from VASP.

Properties
The density of states at the Fermi level comes out at 5.3 states/eV/f.u. The calculation puts the size of the total moment at 0.00 μB/atom. As for the volume: 23.35 Å³/atom.

Geometry as Quantum ESPRESSO input:
```
&SYSTEM
  ibrav = 0, nat = 3, ntyp = 3
/
ATOMIC_SPECIES
Ho 164.93 Ho.upf
Ti 47.87 Ti.upf
Zr 91.22 Zr.upf
CELL_PARAMETERS angstrom
3.2130 0.0000 0.0000
-1.6065 2.7826 0.0000
0.0000 0.0000 7.8341
ATOMIC_POSITIONS angstrom
Ho 0.0000 0.0000 0.0926
Ti 1.6065 0.9275 2.7047
Zr 0.0000 1.8550 5.0368
```

=====

Entry ii
A geometry-optimized HoZrTi structure, computed with GGA-PBE. Values from VASP.

Properties
The density of states at the Fermi level comes out at 4.9 states/eV/f.u. The calculation puts the size of the total moment at 0.00 μB/atom. As for the volume: 23.34 Å³/atom.

Geometry as Quantum ESPRESSO input:
```
&SYSTEM
  ibrav = 0, nat = 6, ntyp = 3
/
ATOMIC_SPECIES
Zr 91.22 Zr.upf
Ti 47.87 Ti.upf
Ho 164.93 Ho.upf
CELL_PARAMETERS angstrom
-0.6928 0.2706 4.4399
-0.2057 -4.4835 0.2412
7.1754 -0.3899 -1.1319
ATOMIC_POSITIONS angstrom
Zr 1.6939 -3.3703 1.6130
Ti -0.6580 -3.1603 3.5125
Ho 1.5895 -0.9984 3.7349
Ho 4.6874 -3.6044 -0.1857
Zr 4.5830 -1.2325 1.9362
Ti 6.9349 -1.4425 0.0366
```

=====

Most stable: entry ii (next structure +3.4 kJ/mol of atoms)

=====

Entry i
A geometry-optimized Ho5Tl2 structure, computed with GGA-PBE. Values from VASP.

Properties
The density of states at the Fermi level comes out at 7.0 states/eV/f.u. The calculation puts the size of the total moment at 0.00 μB/atom. As for the volume: 29.58 Å³/atom.

Geometry as Quantum ESPRESSO input:
```
&SYSTEM
  ibrav = 0, nat = 14, ntyp = 2
/
ATOMIC_SPECIES
Ho 164.93 Ho.upf
Tl 204.38 Tl.upf
CELL_PARAMETERS angstrom
4.5835 0.0000 -0.4590
0.0000 4.6539 0.0000
-0.3668 0.0000 19.4502
ATOMIC_POSITIONS angstrom
Ho 1.7978 3.4904 17.9510
Ho 3.5468 3.4904 12.3026
Tl 1.1913 1.1635 11.8956
Tl 3.0254 3.4904 7.0956
Ho 1.5011 1.1635 14.9887
Ho 0.6699 1.1635 6.6886
Ho 2.4189 1.1635 1.0402
Ho 2.7156 3.4904 4.0025
Ho 0.9438 3.4904 9.4239
Tl 3.8534 3.4904 15.3633
Ho 0.1467 3.4904 1.4648
Tl 0.3633 1.1635 3.6279
Ho 3.2729 1.1635 9.5673
Ho 4.0700 1.1635 17.5264
```

=====

Entry ii
A geometry-optimized Ho5Tl2 structure, computed with GGA-PBE. Values from VASP.

Properties
The density of states at the Fermi level comes out at 5.8 states/eV/f.u. The calculation puts the size of the total moment at 0.00 μB/atom. As for the volume: 28.61 Å³/atom.

Geometry as Quantum ESPRESSO input:
```
&SYSTEM
  ibrav = 0, nat = 14, ntyp = 2
/
ATOMIC_SPECIES
Tl 204.38 Tl.upf
Ho 164.93 Ho.upf
CELL_PARAMETERS angstrom
5.3772 0.0000 0.0000
0.0000 9.3019 -0.0870
-2.6886 -1.4664 8.0205
ATOMIC_POSITIONS angstrom
Tl 1.3471 0.7849 1.1866
Tl 4.0300 5.4358 1.1431
Ho 1.3423 6.9764 -0.0653
Ho 1.3421 3.8986 2.1851
Ho 1.3397 0.8203 4.3017
Ho -1.3465 -0.7141 5.7919
Tl 1.3415 7.0506 6.7469
Tl -1.3415 2.3996 6.7904
Ho 4.0351 8.5495 2.1416
Ho 4.0349 2.3255 -0.0218
Ho 1.3489 7.0152 3.6318
Ho 4.0283 2.3642 3.6753
Ho 1.3465 3.9368 5.7484
Ho -1.3397 5.4712 4.2582
```

=====

Most stable: entry ii (next structure +3.8 kJ/mol of atoms)

=====

Entry i
A geometry-optimized Ho2Tl3 structure, computed with GGA-PBE. Values from VASP.

Properties
The density of states at the Fermi level comes out at 2.5 states/eV/f.u. The calculation puts the size of the total moment at 0.00 μB/atom. As for the volume: 28.56 Å³/atom.

Geometry as Quantum ESPRESSO input:
```
&SYSTEM
  ibrav = 0, nat = 20, ntyp = 2
/
ATOMIC_SPECIES
Tl 204.38 Tl.upf
Ho 164.93 Ho.upf
CELL_PARAMETERS angstrom
-1.7009 3.2791 0.5700
-10.7137 -5.6072 0.2870
1.1560 -1.5698 12.4813
ATOMIC_POSITIONS angstrom
Tl -8.5074 -2.9930 10.2150
Tl -2.3387 -1.7764 9.3684
Ho -5.3557 -1.0681 8.5457
Ho -1.6508 1.9584 2.1903
Tl -10.2762 -5.0465 4.4945
Tl -6.7992 -3.7806 7.5883
Tl -8.9199 -2.1216 3.9699
Ho -3.0939 -2.7300 12.6009
Tl -1.9030 0.1333 11.9377
Tl -5.9472 -0.3624 2.7207
Ho -5.9030 -2.8299 4.7926
Tl -9.3557 -4.0312 1.4006
Ho -1.4026 -0.7574 6.2995
Ho -9.8561 -3.1406 7.0388
Ho -8.1648 -1.1680 0.7374
Tl -0.9825 1.1485 8.8438
Tl -5.3115 -3.5355 10.6176
Tl -4.4595 -0.1173 5.7501
Tl -2.7513 -0.9049 3.1233
Ho -9.6079 -5.8563 11.1480
```

=====

Entry ii
A geometry-optimized Ho2Tl3 structure, computed with GGA-PBE. Values from VASP.

Properties
The density of states at the Fermi level comes out at 3.0 states/eV/f.u. The calculation puts the size of the total moment at 0.00 μB/atom. As for the volume: 27.14 Å³/atom.

Geometry as Quantum ESPRESSO input:
```
&SYSTEM
  ibrav = 0, nat = 10, ntyp = 2
/
ATOMIC_SPECIES
Tl 204.38 Tl.upf
Ho 164.93 Ho.upf
CELL_PARAMETERS angstrom
4.5402 0.0000 0.0000
0.0000 7.7322 0.0000
0.0000 0.0000 7.7322
ATOMIC_POSITIONS angstrom
Tl 0.0000 4.6822 1.3951
Tl 0.0000 0.0000 0.0000
Tl 2.2701 3.8661 3.8661
Tl 0.0000 1.3951 3.0500
Ho 2.2701 0.9914 5.3749
Ho 2.2701 6.7408 2.3573
Ho 2.2701 2.3573 0.9914
Ho 2.2701 5.3749 6.7408
Tl 0.0000 3.0500 6.3371
Tl 0.0000 6.3371 4.6822
```

=====

Most stable: entry ii (next structure +7.1 kJ/mol of atoms)

=====

Entry i
A geometry-optimized Ho5Tl structure, computed with GGA-PBE. Values from VASP.

Properties
The density of states at the Fermi level comes out at 7.6 states/eV/f.u. The calculation puts the size of the total moment at 0.00 μB/atom. As for the volume: 29.72 Å³/atom.

Geometry as Quantum ESPRESSO input:
```
&SYSTEM
  ibrav = 0, nat = 6, ntyp = 2
/
ATOMIC_SPECIES
Tl 204.38 Tl.upf
Ho 164.93 Ho.upf
CELL_PARAMETERS angstrom
-2.7612 -2.0337 0.8881
4.9811 -4.1538 -1.0906
0.9023 2.2097 7.8650
ATOMIC_POSITIONS angstrom
Tl 1.1155 -1.2865 7.5868
Ho 0.8947 0.8487 4.7250
Ho 2.9865 -3.3796 1.5458
Ho 0.0857 -1.9288 2.9143
Ho 2.9880 -1.9067 4.9235
Ho 1.0282 2.0247 7.8331
```

=====

Entry ii
A geometry-optimized Ho5Tl structure, computed with GGA-PBE. Values from VASP.

Properties
The density of states at the Fermi level comes out at 6.3 states/eV/f.u. The calculation puts the size of the total moment at 0.00 μB/atom. As for the volume: 29.38 Å³/atom.

Geometry as Quantum ESPRESSO input:
```
&SYSTEM
  ibrav = 0, nat = 6, ntyp = 2
/
ATOMIC_SPECIES
Ho 164.93 Ho.upf
Tl 204.38 Tl.upf
CELL_PARAMETERS angstrom
4.8390 0.0000 0.0000
0.0000 4.8458 0.0000
0.0000 -2.4229 7.5188
ATOMIC_POSITIONS angstrom
Ho 2.4195 2.4229 4.9740
Ho 0.0000 0.0000 5.0702
Ho 2.4195 0.0000 2.5448
Tl 0.0000 0.0000 0.0000
Ho 2.4195 2.4229 0.0000
Ho 0.0000 2.4229 2.4486
```

=====

Most stable: entry ii (next structure +0.5 kJ/mol of atoms)

=====

Entry i
A geometry-optimized HoTm2Tl4 structure, computed with GGA-PBE. Values from VASP.

Properties
The density of states at the Fermi level comes out at 6.5 states/eV/f.u. The calculation puts the size of the total moment at 0.00 μB/atom. As for the volume: 29.68 Å³/atom.

Geometry as Quantum ESPRESSO input:
```
&SYSTEM
  ibrav = 0, nat = 7, ntyp = 3
/
ATOMIC_SPECIES
Tl 204.38 Tl.upf
Tm 168.93 Tm.upf
Ho 164.93 Ho.upf
CELL_PARAMETERS angstrom
-1.9561 1.0480 2.6634
-1.7417 -5.5725 0.9134
8.8770 1.9633 5.7471
ATOMIC_POSITIONS angstrom
Tl 0.8346 -3.1883 1.8675
Tl 1.7853 0.1311 3.5158
Tm 1.9726 -2.8015 4.8072
Tm 4.2244 -0.2842 5.4706
Ho 0.5109 -0.2515 0.4742
Tl 7.3239 -0.9279 5.7440
Tl 4.4117 -3.2125 6.7603
```

=====

Entry ii
A geometry-optimized HoTm2Tl4 structure, computed with GGA-PBE. Values from VASP.

Properties
The density of states at the Fermi level comes out at 5.3 states/eV/f.u. The calculation puts the size of the total moment at 0.00 μB/atom. As for the volume: 29.20 Å³/atom.

Geometry as Quantum ESPRESSO input:
```
&SYSTEM
  ibrav = 0, nat = 7, ntyp = 3
/
ATOMIC_SPECIES
Ho 164.93 Ho.upf
Tl 204.38 Tl.upf
Tm 168.93 Tm.upf
CELL_PARAMETERS angstrom
6.0649 0.0093 -2.1286
-3.0203 5.2422 -2.1704
0.0054 -0.0093 6.4276
ATOMIC_POSITIONS angstrom
Ho 0.0000 0.0000 0.0000
Tl 3.0324 0.0047 -1.0643
Tm 1.5223 2.6258 -2.1495
Tl 1.5250 2.6211 1.0643
Tl 0.0027 -0.0047 3.2138
Tl -1.5102 2.6211 -1.0852
Tm 3.0351 0.0000 2.1495
```

=====

Most stable: entry ii (next structure +21.1 kJ/mol of atoms)